Density functional theory data (PBE+U) for crystalline MnAg2RhF6 at its relaxed geometry.

```
data_MnAg2RhF6
_chemical_formula_sum 'Mn1 Ag2 Rh1 F6'
_symmetry_space_group_name_H-M 'P -1'
_symmetry_Int_Tables_number 2
_cell_length_a 4.9856
_cell_length_b 5.5409
_cell_length_c 5.8455
_cell_angle_alpha 67.03
_cell_angle_beta 76.55
_cell_angle_gamma 89.62
loop_
_symmetry_equiv_pos_as_xyz
'x,y,z'
'-x,-y,-z'
loop_
_atom_site_label
_atom_site_fract_x
_atom_site_fract_y
_atom_site_fract_z
Mn1 0.0000 0.0000 0.0000
Ag1 0.3074 0.6940 0.5422
Rh1 0.5000 0.5000 0.0000
F1 0.1497 0.6110 0.1787
F2 0.2399 0.0855 0.6459
F3 0.3057 0.1481 0.1124
```

Computed properties:
Total magnetization = 0.3970 μB/atom
VASP energy = -4.676 eV/atom
Mass density = 5.62 Mg/m³
Density of states at the Fermi level = 7.8 states/eV per cell